Compound: YLu2Sn2
Source: OQMD
Functional: GGA-PBE
Structure: relaxed

```
YLu2Sn2
1.0
0.000 8.153 3.025
5.524 0.000 3.025
5.524 8.153 0.000
Y Lu Sn
2 4 4
direct
0.000 0.000 0.000
0.250 0.250 0.250
0.298 0.572 0.794
0.456 0.914 0.952
0.572 0.298 0.336
0.914 0.456 0.678
0.455 0.820 0.304
0.820 0.455 0.422
0.828 0.946 0.430
0.946 0.828 0.795
```

* E_tot: -5.1655 eV per atom
* calculated volume: 27.25 Å³ per atom
* space-group type: Fdd2, No. 43

Compound: YLuSn2
Source: OQMD
Functional: GGA-PBE
Structure: relaxed

```
YLuSn2
1.0
7.584 0.000 0.000
0.000 7.584 0.000
0.000 0.000 7.584
Y Lu Sn
4 4 8
direct
0.000 0.000 0.000
0.000 0.500 0.500
0.500 0.000 0.500
0.500 0.500 0.000
0.250 0.250 0.250
0.250 0.750 0.750
0.750 0.250 0.750
0.750 0.750 0.250
0.000 0.000 0.500
0.000 0.500 0.000
0.250 0.250 0.750
0.250 0.750 0.250
0.500 0.000 0.000
0.500 0.500 0.500
0.750 0.250 0.250
0.750 0.750 0.750
```

* E_tot: -4.8482 eV per atom
* calculated volume: 27.26 Å³ per atom
* space-group type: F-43m, No. 216

Compound: YLu2Sn
Source: OQMD
Functional: GGA-PBE
Structure: relaxed

```
YLu2Sn
1.0
7.555 0.000 0.000
0.000 7.555 0.000
0.000 0.000 7.555
Y Lu Sn
4 8 4
direct
0.000 0.000 0.000
0.000 0.500 0.500
0.500 0.000 0.500
0.500 0.500 0.000
0.000 0.000 0.500
0.000 0.500 0.000
0.250 0.250 0.250
0.250 0.750 0.750
0.500 0.000 0.000
0.500 0.500 0.500
0.750 0.250 0.750
0.750 0.750 0.250
0.250 0.250 0.750
0.250 0.750 0.250
0.750 0.250 0.250
0.750 0.750 0.750
```

* E_tot: -5.0864 eV per atom
* calculated volume: 26.95 Å³ per atom
* space-group type: F-43m, No. 216

Compound: YLu2Sn7
Source: OQMD
Functional: GGA-PBE
Structure: relaxed

```
YLu2Sn7
1.0
2.194 -13.085 0.000
2.194 13.085 0.000
0.000 0.000 4.453
Y Lu Sn
1 2 7
direct
0.000 0.000 0.000
0.309 0.691 0.500
0.691 0.309 0.500
0.098 0.902 0.500
0.210 0.790 0.000
0.401 0.599 0.000
0.500 0.500 0.500
0.599 0.401 0.000
0.790 0.210 0.000
0.902 0.098 0.500
```

* E_tot: -4.8287 eV per atom
* calculated volume: 25.57 Å³ per atom
* space-group type: Cmmm, No. 65

Compound: YLuZn2Sn2
Source: OQMD
Functional: GGA-PBE
Structure: relaxed

```
YLuZn2Sn2
1.0
4.498 0.000 0.000
-2.249 3.895 0.000
0.000 0.000 15.561
Y Lu Zn Sn
2 2 4 4
direct
0.000 0.000 0.250
0.000 0.000 0.750
0.000 0.000 0.000
0.000 0.000 0.500
0.333 0.667 0.159
0.333 0.667 0.341
0.667 0.333 0.659
0.667 0.333 0.841
0.333 0.667 0.610
0.333 0.667 0.890
0.667 0.333 0.110
0.667 0.333 0.390
```

* E above lowest polymorph: 0.015 eV per atom
* calculated volume: 22.72 Å³ per atom
* space-group type: P6_3/mmc, No. 194

Compound: YLuZn2Sn2
Source: OQMD
Functional: GGA-PBE
Structure: relaxed

```
YLuZn2Sn2
1.0
4.478 0.000 0.000
-2.239 3.878 0.000
0.000 0.000 15.689
Y Lu Zn Sn
2 2 4 4
direct
0.000 0.000 0.000
0.000 0.000 0.500
0.000 0.000 0.250
0.000 0.000 0.750
0.333 0.667 0.162
0.333 0.667 0.338
0.667 0.333 0.662
0.667 0.333 0.838
0.333 0.667 0.615
0.333 0.667 0.885
0.667 0.333 0.115
0.667 0.333 0.385
```

* E above lowest polymorph: 0.000 eV per atom
* calculated volume: 22.71 Å³ per atom
* space-group type: P6_3/mmc, No. 194

Compound: Lu2ZnSn
Source: OQMD
Functional: GGA-PBE
Structure: relaxed

```
Lu2ZnSn
1.0
7.311 0.000 0.000
0.000 7.311 0.000
0.000 0.000 7.311
Lu Zn Sn
8 4 4
direct
0.000 0.000 0.000
0.000 0.500 0.500
0.250 0.250 0.250
0.250 0.750 0.750
0.500 0.000 0.500
0.500 0.500 0.000
0.750 0.250 0.750
0.750 0.750 0.250
0.250 0.250 0.750
0.250 0.750 0.250
0.750 0.250 0.250
0.750 0.750 0.750
0.000 0.000 0.500
0.000 0.500 0.000
0.500 0.000 0.000
0.500 0.500 0.500
```

* E_tot: -3.5522 eV per atom
* calculated volume: 24.42 Å³ per atom
* space-group type: F-43m, No. 216

Compound: LuZn2Sn
Source: OQMD
Functional: GGA-PBE
Structure: relaxed

```
LuZn2Sn
1.0
6.963 0.000 0.000
0.000 6.963 0.000
0.000 0.000 6.963
Lu Zn Sn
4 8 4
direct
0.000 0.000 0.000
0.000 0.500 0.500
0.500 0.000 0.500
0.500 0.500 0.000
0.000 0.000 0.500
0.000 0.500 0.000
0.250 0.250 0.250
0.250 0.750 0.750
0.500 0.000 0.000
0.500 0.500 0.500
0.750 0.250 0.750
0.750 0.750 0.250
0.250 0.250 0.750
0.250 0.750 0.250
0.750 0.250 0.250
0.750 0.750 0.750
```

* E_tot: -2.8726 eV per atom
* calculated volume: 21.10 Å³ per atom
* space-group type: F-43m, No. 216

Compound: LuZrSn2
Source: OQMD
Functional: GGA-PBE
Structure: relaxed

```
LuZrSn2
1.0
7.342 0.000 0.000
0.000 7.342 0.000
0.000 0.000 7.342
Lu Zr Sn
4 4 8
direct
0.000 0.000 0.000
0.000 0.500 0.500
0.500 0.000 0.500
0.500 0.500 0.000
0.250 0.250 0.750
0.250 0.750 0.250
0.750 0.250 0.250
0.750 0.750 0.750
0.000 0.000 0.500
0.000 0.500 0.000
0.250 0.250 0.250
0.250 0.750 0.750
0.500 0.000 0.000
0.500 0.500 0.500
0.750 0.250 0.750
0.750 0.750 0.250
```

* E_tot: -5.2223 eV per atom
* calculated volume: 24.73 Å³ per atom
* space-group type: F-43m, No. 216

Compound: LuZr6Sn4
Source: OQMD
Functional: GGA-PBE
Structure: relaxed

```
LuZr6Sn4
1.0
3.290 1.899 8.702
-3.290 1.899 8.702
0.000 -3.799 8.702
Lu Zr Sn
1 6 4
direct
0.000 0.000 0.000
0.105 0.603 0.603
0.397 0.397 0.895
0.397 0.895 0.397
0.603 0.105 0.603
0.603 0.603 0.105
0.895 0.397 0.397
0.122 0.122 0.122
0.332 0.332 0.332
0.668 0.668 0.668
0.878 0.878 0.878
```

* E_tot: -6.6965 eV per atom
* calculated volume: 29.66 Å³ per atom
* space-group type: R-3m, No. 166

Compound: LuZr2Sn
Source: OQMD
Functional: GGA-PBE
Structure: relaxed

```
LuZr2Sn
1.0
7.204 0.000 0.000
0.000 7.204 0.000
0.000 0.000 7.204
Lu Zr Sn
4 8 4
direct
0.000 0.000 0.000
0.000 0.500 0.500
0.500 0.000 0.500
0.500 0.500 0.000
0.000 0.000 0.500
0.000 0.500 0.000
0.250 0.250 0.250
0.250 0.750 0.750
0.500 0.000 0.000
0.500 0.500 0.500
0.750 0.250 0.750
0.750 0.750 0.250
0.250 0.250 0.750
0.250 0.750 0.250
0.750 0.250 0.250
0.750 0.750 0.750
```

* E_tot: -6.5798 eV per atom
* calculated volume: 23.36 Å³ per atom
* space-group type: F-43m, No. 216

Compound: SrTbLu
Source: OQMD
Functional: GGA-PBE
Structure: relaxed

```
SrTbLu
1.0
8.047 0.000 0.000
0.000 8.047 0.000
0.000 0.000 8.047
Sr Tb Lu
4 4 4
direct
0.000 0.000 0.000
0.000 0.500 0.500
0.500 0.000 0.500
0.500 0.500 0.000
0.000 0.000 0.500
0.000 0.500 0.000
0.500 0.000 0.000
0.500 0.500 0.500
0.250 0.250 0.250
0.250 0.750 0.750
0.750 0.250 0.750
0.750 0.750 0.250
```

* E_tot: -2.8084 eV per atom
* calculated volume: 43.42 Å³ per atom
* space-group type: F-43m, No. 216

> Number 2 is which compound?

YLuSn2

> Which value of calculated volume does entry 5 give?

22.72 Å³ per atom